Below is Er2Tm3Sc3 after structural relaxation, with properties calculated at the PBE-GGA level.

formation enthalpy at 0 K: 0.172 eV/atom
space-group type: Immm, No. 71
E_tot: -5.02 eV per atom
D(E_F): 13.15 states/eV/f.u.
energy relative to the lowest polymorph listed for this composition: 0 meV/atom
calculated density: 7.24 g/cm3

Geometry as CIF:
```
data_Er2Tm3Sc3
_space_group_name_H-M_alt 'P 1'
_space_group_IT_number 1
_cell_length_a 4.7840
_cell_length_b 4.8480
_cell_length_c 19.3159
_cell_angle_alpha 90.00
_cell_angle_beta 90.00
_cell_angle_gamma 90.00
loop_
_space_group_symop_operation_xyz
'x,y,z'
loop_
_atom_site_label
_atom_site_fract_x
_atom_site_fract_y
_atom_site_fract_z
Er1 0.0000 0.0000 0.2493
Er2 0.0000 0.0000 0.7507
Er3 0.5000 0.5000 0.2507
Er4 0.5000 0.5000 0.7493
Tm1 0.0000 0.0000 0.0000
Tm2 0.0000 0.5000 0.1222
Tm3 0.0000 0.5000 0.8778
Tm4 0.5000 0.0000 0.3778
Tm5 0.5000 0.0000 0.6222
Tm6 0.5000 0.5000 0.5000
Sc1 0.0000 0.0000 0.5000
Sc2 0.0000 0.5000 0.3766
Sc3 0.0000 0.5000 0.6234
Sc4 0.5000 0.0000 0.1234
Sc5 0.5000 0.0000 0.8766
Sc6 0.5000 0.5000 0.0000
```

***

Below is Zr3N2O3 after structural relaxation, with properties calculated at the PBE-GGA level.

space-group type: Cm, No. 8
E_tot: -9.67 eV per atom
D(E_F): 0.00 states/eV/f.u.
formation energy (no corrections): -20.194 eV per formula unit
energy relative to the lowest polymorph listed for this composition: 32 meV/atom
calculated density: 4.90 g/cm3

Geometry as CIF:
```
data_Zr3N2O3
_space_group_name_H-M_alt 'P 1'
_space_group_IT_number 1
_cell_length_a 5.7705
_cell_length_b 5.7705
_cell_length_c 10.8248
_cell_angle_alpha 90.53
_cell_angle_beta 90.53
_cell_angle_gamma 41.07
loop_
_space_group_symop_operation_xyz
'x,y,z'
loop_
_atom_site_label
_atom_site_fract_x
_atom_site_fract_y
_atom_site_fract_z
Zr1 0.0000 0.0000 0.0000
Zr2 0.0065 0.0065 0.3854
Zr3 0.0450 0.0450 0.6932
Zr4 0.6710 0.6710 0.1936
Zr5 0.7187 0.7187 0.4999
Zr6 0.7268 0.7268 0.8850
N1 0.1597 0.1597 0.5231
N2 0.5647 0.5647 0.3640
N3 0.5687 0.5687 0.0194
N4 0.9094 0.9094 0.8298
O1 0.1094 0.1094 0.1964
O2 0.1720 0.1720 0.8638
O3 0.6164 0.6164 0.7014
O4 0.8182 0.8182 0.3295
O5 0.8208 0.8208 0.0643
O6 0.9069 0.9069 0.5573
```

***

Below is Li7Tl3Hg2 after structural relaxation, with properties calculated at the PBE-GGA level.

formation enthalpy at 0 K: -0.181 eV/atom
space-group type: Cmmm, No. 65
E_tot: -1.94 eV per atom
D(E_F): 6.00 states/eV/f.u.
calculated density: 7.08 g/cm3

Geometry as CIF:
```
data_Li7Tl3Hg2
_space_group_name_H-M_alt 'P 1'
_space_group_IT_number 1
_cell_length_a 10.6759
_cell_length_b 10.6759
_cell_length_c 4.9579
_cell_angle_alpha 90.00
_cell_angle_beta 90.00
_cell_angle_gamma 153.82
loop_
_space_group_symop_operation_xyz
'x,y,z'
loop_
_atom_site_label
_atom_site_fract_x
_atom_site_fract_y
_atom_site_fract_z
Li1 0.0000 0.0000 0.0000
Li2 0.0795 0.9205 0.5000
Li3 0.2763 0.7237 0.0000
Li4 0.4218 0.5782 0.0000
Li5 0.5782 0.4218 0.0000
Li6 0.7237 0.2763 0.0000
Li7 0.9205 0.0795 0.5000
Tl1 0.3308 0.6692 0.5000
Tl2 0.5000 0.5000 0.5000
Tl3 0.6692 0.3308 0.5000
Hg1 0.1431 0.8569 0.0000
Hg2 0.8569 0.1431 0.0000
```

***

Below is LaHfFe4 after structural relaxation, with properties calculated at the PBE-GGA level.

formation enthalpy at 0 K: -0.004 eV/atom
space-group type: F-43m, No. 216
E_tot: -8.13 eV per atom
D(E_F): 4.86 states/eV/f.u.
calculated density: 9.52 g/cm3

Geometry as CIF:
```
data_LaHfFe4
_space_group_name_H-M_alt 'P 1'
_space_group_IT_number 1
_cell_length_a 5.1100
_cell_length_b 5.1100
_cell_length_c 5.1100
_cell_angle_alpha 60.00
_cell_angle_beta 60.00
_cell_angle_gamma 60.00
loop_
_space_group_symop_operation_xyz
'x,y,z'
loop_
_atom_site_label
_atom_site_fract_x
_atom_site_fract_y
_atom_site_fract_z
La1 0.0000 0.0000 0.0000
Hf1 0.7500 0.7500 0.7500
Fe1 0.3760 0.3760 0.3760
Fe2 0.3760 0.3760 0.8719
Fe3 0.3760 0.8719 0.3760
Fe4 0.8719 0.3760 0.3760
```

***

Below is SrAgOs after structural relaxation, with properties calculated at the PBE-GGA level.

formation enthalpy at 0 K: 0.719 eV/atom
space-group type: Imm2, No. 44
E_tot: -4.54 eV per atom
D(E_F): 1.97 states/eV/f.u.
energy relative to the lowest polymorph listed for this composition: 0 meV/atom
calculated density: 9.88 g/cm3

Geometry as CIF:
```
data_SrAgOs
_space_group_name_H-M_alt 'P 1'
_space_group_IT_number 1
_cell_length_a 2.8127
_cell_length_b 4.4397
_cell_length_c 10.3852
_cell_angle_alpha 90.00
_cell_angle_beta 90.00
_cell_angle_gamma 90.00
loop_
_space_group_symop_operation_xyz
'x,y,z'
loop_
_atom_site_label
_atom_site_fract_x
_atom_site_fract_y
_atom_site_fract_z
Sr1 0.0000 0.0000 0.0000
Sr2 0.5000 0.5000 0.5000
Ag1 0.0000 0.0000 0.7074
Ag2 0.5000 0.5000 0.2074
Os1 0.0000 0.0000 0.3042
Os2 0.5000 0.5000 0.8042
```